Material: Bi3PbWClO8
Method: DFT, GGA+U
State: relaxed

Structure (POSCAR):
```
Bi3PbWClO8
1.0
3.8831 0.0000 0.0000
0.0000 3.8831 0.0000
0.0000 0.0000 15.1549
O Bi Cl Pb W
8 3 1 1 1
Cartesian
0.0000 1.9416 10.9368 O
0.0000 1.9416 0.1505 O
0.0000 1.9416 4.2447 O
0.0000 0.0000 13.3588 O
1.9416 0.0000 10.9368 O
1.9416 0.0000 4.2447 O
1.9416 0.0000 0.1505 O
0.0000 0.0000 2.0652 O
1.9416 1.9416 2.8947 Bi
0.0000 0.0000 5.4471 Bi
1.9416 1.9416 12.1507 Bi
1.9416 1.9416 7.0796 Cl
0.0000 0.0000 9.6114 Pb
0.0000 0.0000 0.0805 W
```

Results
Volume, A^3/atom: 16.3
Calculated density, g/cm3: 8.6
Magnetic moment, μB per formula unit: 0.000
Total energy, eV per atom: -6.046